{"formula": "SrLi2InAu5", "functional": "GGA-PBE", "state": "relaxed", "lattice": [[4.9187, 0.0000, 0.0000], [0.0000, 4.9187, 0.0000], [0.0000, 0.0000, 7.5262]], "species": ["Sr", "Li", "Li", "In", "Au", "Au", "Au", "Au", "Au"], "frac_coords": [[0.0000, 0.0000, 0.0000], [0.5000, 0.5000, 0.3396], [0.5000, 0.5000, 0.6604], [0.0000, 0.0000, 0.5000], [0.0000, 0.5000, 0.2857], [0.0000, 0.5000, 0.7143], [0.5000, 0.0000, 0.2857], [0.5000, 0.0000, 0.7143], [0.5000, 0.5000, 0.0000]], "dos_at_fermi_per_ev_fu": 3.67, "dft_energy_ev_per_atom": -3.110}